10
Lattice="6.743 0.000 0.000 0.000 6.743 0.000 0.000 0.000 4.523" Properties=species:S:1:pos:R:3 comment="Y2MoRh2 PBE relaxed" crystal_system=tetragonal vol_a3_per_atom=20.6 total_energy_ev_per_atom=-8.0513 spacegroup="P4/mbm, No. 127" e_form_kj_per_mol_atoms=-34.6 pbc="T T T"
Y 1.185 2.186 0.000
Y 2.186 5.557 0.000
Y 4.557 1.185 0.000
Y 5.557 4.557 0.000
Mo 0.000 0.000 2.261
Mo 3.371 3.371 2.261
Rh 0.957 4.328 2.261
Rh 2.414 0.957 2.261
Rh 4.328 5.786 2.261
Rh 5.786 2.414 2.261